1.
Sr2AlZn | GGA-PBEsol | optimized geometry

Computed properties:
Space-group type ... No. 25
Energy relative to the elements ... -0.1169 eV/atom
Total magnetic moment ... 0.0000 μB/atom

a = 3.7825 Å, b = 5.5000 Å, c = 5.5552 Å
α = 90.00°, β = 90.00°, γ = 90.00°
Element x y z (fractional)
Sr: 0.0000 0.0000 0.0000
Sr: 0.0000 0.5000 0.4732
Al: 0.5000 0.5000 0.9606
Zn: 0.5000 0.0000 0.5211

2.
Sr2AlZn | GGA-PBEsol | optimized geometry

Computed properties:
Space-group type ... No. 44
Energy relative to the elements ... -0.1165 eV/atom
Total magnetic moment ... 0.0000 μB/atom

a = 3.7632 Å, b = 5.4381 Å, c = 10.9940 Å
α = 90.00°, β = 90.00°, γ = 90.00°
Element x y z (fractional)
Sr: 0.0000 0.0000 0.0000
Sr: 0.0000 0.5000 0.1948
Sr: 0.5000 0.0000 0.6948
Sr: 0.5000 0.5000 0.5000
Al: 0.0000 0.0000 0.4193
Al: 0.5000 0.5000 0.9193
Zn: 0.0000 0.5000 0.7557
Zn: 0.5000 0.0000 0.2557

3.
SrZr3Al | GGA-PBEsol | optimized geometry

Computed properties:
Space-group type ... No. 221
Energy relative to the elements ... 1.7538 eV/atom
Total magnetic moment ... 0.0117 μB/atom

a = 4.9914 Å, b = 4.9914 Å, c = 4.9914 Å
α = 90.00°, β = 90.00°, γ = 90.00°
Element x y z (fractional)
Sr: 0.0000 0.0000 0.0000
Zr: 0.0000 0.0000 0.5000
Zr: 0.0000 0.5000 0.0000
Zr: 0.5000 0.0000 0.0000
Al: 0.5000 0.5000 0.5000

Please write out number 1 again, unchanged.
Sr2AlZn | GGA-PBEsol | optimized geometry

Computed properties:
Space-group type ... No. 25
Energy relative to the elements ... -0.1169 eV/atom
Total magnetic moment ... 0.0000 μB/atom

a = 3.7825 Å, b = 5.5000 Å, c = 5.5552 Å
α = 90.00°, β = 90.00°, γ = 90.00°
Element x y z (fractional)
Sr: 0.0000 0.0000 0.0000
Sr: 0.0000 0.5000 0.4732
Al: 0.5000 0.5000 0.9606
Zn: 0.5000 0.0000 0.5211